(1)
First-principles (PBE) data for a relaxed Nb4Bi3W2C3 crystal, as listed in OQMD.

a = 5.8357 Å, b = 5.8357 Å, c = 13.9580 Å
α = 100.46°, β = 100.46°, γ = 59.93°
Closest atoms and distances in Å follow each position.
Sites, in units of the cell vectors:
1 Nb 0.0369 0.1774 0.0810  3 C 2.22-2.27
2 Nb 0.1282 0.3137 0.4185  3 C 2.24-2.29
3 Nb 0.1774 0.0369 0.5810  3 C 2.22-2.27
4 Nb 0.3137 0.1282 0.9185  3 C 2.24-2.29
5 Nb 0.6863 0.8718 0.0815  3 C 2.24-2.29
6 Nb 0.8226 0.9631 0.4190  3 C 2.22-2.27
7 Nb 0.8718 0.6863 0.5815  3 C 2.24-2.29
8 Nb 0.9631 0.8226 0.9190  3 C 2.22-2.27
9 Bi 0.0918 0.9082 0.2500  4 Nb 2.95-3.08, 2 W 3.09, 2 Bi 3.28
10 Bi 0.2575 0.4148 0.7481  4 Nb 2.98-3.10, 2 W 2.99-3.24, 2 Bi 3.28-3.30
11 Bi 0.4148 0.2575 0.2481  4 Nb 2.98-3.10, 2 W 2.99-3.24, 2 Bi 3.28-3.30
12 Bi 0.5852 0.7425 0.7519  4 Nb 2.98-3.10, 2 W 2.99-3.24, 2 Bi 3.28-3.30
13 Bi 0.7425 0.5852 0.2519  4 Nb 2.98-3.10, 2 W 2.99-3.24, 2 Bi 3.28-3.30
14 Bi 0.9082 0.0918 0.7500  4 Nb 2.95-3.08, 2 W 3.09, 2 Bi 3.28
15 W 0.3416 0.5169 0.0702  3 C 2.10-2.15
16 W 0.4831 0.6584 0.4298  3 C 2.10-2.15
17 W 0.5169 0.3416 0.5702  3 C 2.10-2.15
18 W 0.6584 0.4831 0.9298  3 C 2.10-2.15
19 C 0.0000 0.5000 0.0000  2 W 2.10, 4 Nb 2.27-2.29
20 C 0.1825 0.6599 0.4996  2 W 2.14-2.15, 4 Nb 2.22-2.27
21 C 0.3401 0.8175 0.0004  2 W 2.14-2.15, 4 Nb 2.22-2.27
22 C 0.5000 0.0000 0.5000  2 W 2.10, 4 Nb 2.27-2.29
23 C 0.6599 0.1825 0.9996  2 W 2.14-2.15, 4 Nb 2.22-2.27
24 C 0.8175 0.3401 0.5004  2 W 2.14-2.15, 4 Nb 2.22-2.27

Computed properties:
- total energy (eV/cell) = -211.35

***

(2)
First-principles (PBE) data for a relaxed Zr2Nb4Bi3C3 crystal, as listed in OQMD.

a = 5.9752 Å, b = 5.9752 Å, c = 14.1531 Å
α = 102.10°, β = 102.10°, γ = 60.07°
Closest atoms and distances in Å follow each position.
Sites, in units of the cell vectors:
1 Zr 0.0286 0.8640 0.5866  3 C 2.33
2 Zr 0.1360 0.9714 0.9134  3 C 2.33
3 Zr 0.8640 0.0286 0.0866  3 C 2.33
4 Zr 0.9714 0.1360 0.4134  3 C 2.33
5 Nb 0.1917 0.3564 0.0757  3 C 2.24-2.25
6 Nb 0.3059 0.4772 0.4243  3 C 2.24-2.25
7 Nb 0.3564 0.1917 0.5757  3 C 2.24-2.25
8 Nb 0.4772 0.3059 0.9243  3 C 2.24-2.25
9 Nb 0.5228 0.6941 0.0757  3 C 2.24-2.25
10 Nb 0.6436 0.8083 0.4243  3 C 2.24-2.25
11 Nb 0.6941 0.5228 0.5757  3 C 2.24-2.25
12 Nb 0.8083 0.6436 0.9243  3 C 2.24-2.25
13 Bi 0.0837 0.2630 0.7499  2 Zr 3.05, 4 Nb 3.08-3.10, 4 Bi 3.38-3.39
14 Bi 0.2630 0.0837 0.2499  2 Zr 3.05, 4 Nb 3.08-3.10, 4 Bi 3.38-3.39
15 Bi 0.4296 0.5704 0.7500  2 Zr 3.06, 4 Nb 3.09-3.10, 4 Bi 3.38-3.39
16 Bi 0.5704 0.4296 0.2500  2 Zr 3.06, 4 Nb 3.09-3.10, 4 Bi 3.38-3.39
17 Bi 0.7370 0.9163 0.7501  2 Zr 3.05, 4 Nb 3.08-3.10, 4 Bi 3.38-3.39
18 Bi 0.9163 0.7370 0.2501  2 Zr 3.05, 4 Nb 3.08-3.10, 4 Bi 3.38-3.39
19 C 0.0000 0.5000 0.5000  4 Nb 2.24, 2 Zr 2.33
20 C 0.1682 0.6638 0.0000  4 Nb 2.24-2.25, 2 Zr 2.33
21 C 0.3362 0.8318 0.5000  4 Nb 2.24-2.25, 2 Zr 2.33
22 C 0.5000 0.0000 0.0000  4 Nb 2.24, 2 Zr 2.33
23 C 0.6638 0.1682 0.5000  4 Nb 2.24-2.25, 2 Zr 2.33
24 C 0.8318 0.3362 0.0000  4 Nb 2.24-2.25, 2 Zr 2.33

Computed properties:
- total energy (eV/cell) = -203.55

***

(3)
First-principles (PBE) data for a relaxed Ta4NiBiC2 crystal, as listed in OQMD.

a = 3.1945 Å, b = 3.1945 Å, c = 13.6950 Å
α = 90.00°, β = 90.00°, γ = 120.00°
Closest atoms and distances in Å follow each position.
Sites, in units of the cell vectors:
1 Ta 0.0000 0.0000 0.1412  3 C 2.21
2 Ta 0.0000 0.0000 0.8588  3 C 2.21
3 Ta 0.6667 0.3333 0.3171  3 C 2.20
4 Ta 0.6667 0.3333 0.6829  3 C 2.20
5 Ni 0.6667 0.3333 0.0000  6 Ta 2.67
6 Bi 0.0000 0.0000 0.5000  6 Ta 3.11, 6 Bi 3.19
7 C 0.3333 0.6667 0.2300  6 Ta 2.20-2.21
8 C 0.3333 0.6667 0.7700  6 Ta 2.20-2.21

Computed properties:
- total energy (eV/cell) = -76.87

***

(4)
First-principles (PBE) data for a relaxed Y4NiBiC2 crystal, as listed in OQMD.

a = 3.6564 Å, b = 3.6564 Å, c = 14.5117 Å
α = 90.00°, β = 90.00°, γ = 120.00°
Closest atoms and distances in Å follow each position.
Sites, in units of the cell vectors:
1 Y 0.0000 0.0000 0.1345  3 C 2.54
2 Y 0.0000 0.0000 0.8655  3 C 2.54
3 Y 0.6667 0.3333 0.3192  3 C 2.46
4 Y 0.6667 0.3333 0.6808  3 C 2.46
5 Ni 0.6667 0.3333 0.0000  6 Y 2.88
6 Bi 0.0000 0.0000 0.5000  6 Y 3.37, 6 Bi 3.66
7 C 0.3333 0.6667 0.2319  6 Y 2.46-2.54
8 C 0.3333 0.6667 0.7681  6 Y 2.46-2.54

Computed properties:
- total energy (eV/cell) = -57.05

***

(5)
First-principles (PBE) data for a relaxed Y4NiBiC2 crystal, as listed in OQMD.

a = 3.6538 Å, b = 3.6538 Å, c = 14.5196 Å
α = 90.00°, β = 90.00°, γ = 120.00°
Closest atoms and distances in Å follow each position.
Sites, in units of the cell vectors:
1 Y 0.0000 0.0000 0.1343  3 C 2.54
2 Y 0.0000 0.0000 0.8657  3 C 2.54
3 Y 0.3333 0.6667 0.3188  3 C 2.46
4 Y 0.3333 0.6667 0.6812  3 C 2.46
5 Ni 0.3333 0.6667 0.0000  6 Y 2.87
6 Bi 0.0000 0.0000 0.5000  6 Y 3.37, 6 Bi 3.65
7 C 0.6667 0.3333 0.2317  6 Y 2.46-2.54
8 C 0.6667 0.3333 0.7683  6 Y 2.46-2.54

Computed properties:
- total energy (eV/cell) = -57.05

***

(6)
First-principles (PBE) data for a relaxed Zr4NiBiC2 crystal, as listed in OQMD.

a = 3.3919 Å, b = 3.3919 Å, c = 13.8032 Å
α = 90.00°, β = 90.00°, γ = 120.00°
Closest atoms and distances in Å follow each position.
Sites, in units of the cell vectors:
1 Zr 0.0000 0.0000 0.1365  3 C 2.37
2 Zr 0.0000 0.0000 0.8635  3 C 2.37
3 Zr 0.6667 0.3333 0.3214  3 C 2.31
4 Zr 0.6667 0.3333 0.6786  3 C 2.31
5 Ni 0.6667 0.3333 0.0000  6 Zr 2.72
6 Bi 0.0000 0.0000 0.5000  6 Zr 3.15, 6 Bi 3.39
7 C 0.3333 0.6667 0.2329  6 Zr 2.31-2.37
8 C 0.3333 0.6667 0.7671  6 Zr 2.31-2.37

Computed properties:
- total energy (eV/cell) = -66.67

***

(7)
First-principles (PBE) data for a relaxed Zr4NiBiC2 crystal, as listed in OQMD.

a = 3.3909 Å, b = 3.3909 Å, c = 13.8213 Å
α = 90.00°, β = 90.00°, γ = 120.00°
Closest atoms and distances in Å follow each position.
Sites, in units of the cell vectors:
1 Zr 0.0000 0.0000 0.1358  3 C 2.37
2 Zr 0.0000 0.0000 0.8642  3 C 2.37
3 Zr 0.3333 0.6667 0.3211  3 C 2.31
4 Zr 0.3333 0.6667 0.6789  3 C 2.31
5 Ni 0.3333 0.6667 0.0000  6 Zr 2.71
6 Bi 0.0000 0.0000 0.5000  6 Zr 3.15, 6 Bi 3.39
7 C 0.6667 0.3333 0.2319  6 Zr 2.31-2.37
8 C 0.6667 0.3333 0.7681  6 Zr 2.31-2.37

Computed properties:
- total energy (eV/cell) = -66.67

***

(8)
First-principles (PBE) data for a relaxed Ta4BiPC2 crystal, as listed in OQMD.

a = 3.3296 Å, b = 3.3296 Å, c = 12.6557 Å
α = 90.00°, β = 90.00°, γ = 120.00°
Closest atoms and distances in Å follow each position.
Sites, in units of the cell vectors:
1 Ta 0.0000 0.0000 0.1354  3 C 2.26
2 Ta 0.0000 0.0000 0.8646  3 C 2.26
3 Ta 0.6667 0.3333 0.3121  3 C 2.19
4 Ta 0.6667 0.3333 0.6879  3 C 2.19
5 Bi 0.0000 0.0000 0.5000  6 Ta 3.06, 6 Bi 3.33
6 P 0.6667 0.3333 0.0000  6 Ta 2.57
7 C 0.3333 0.6667 0.2295  6 Ta 2.19-2.26
8 C 0.3333 0.6667 0.7705  6 Ta 2.19-2.26

Computed properties:
- total energy (eV/cell) = -78.74